This record from Alexandria describes a relaxed structure of Li8InSb2. The functional is PBE-GGA.

Output
- mass density (Mg/m³) = 3.2
- raw formation energy (eV/atom) = -0.4785
- calculated volume (Å³ per cell) = 212.72
- VASP energy (eV per atom) = -2.869
- size of the total moment (μB/f.u.) = 0.0

a b c (Å): 4.564 7.830 7.484
angles (deg): 121.60 107.75 90.00
Fractional positions:
Li1 0.343 0.548 0.686
Li2 0.658 0.863 0.317
Li3 0.849 0.846 0.698
Li4 0.999 0.306 0.998
Li5 0.151 0.154 0.302
Li6 0.342 0.137 0.683
Li7 0.657 0.452 0.314
Li8 0.001 0.694 0.002
In1 0.500 0.000 0.000
Sb1 0.797 0.298 0.594
Sb2 0.203 0.702 0.406